First-principles (GGA-PBE) data for an optimized crystal structure of LiCo2Os2, as listed in Alexandria.

Output
Its crystal system is tetragonal. As for the formation energy: 0.277 eV per atom. As for the energy above the most stable polymorph in this dataset: 0.000 eV per atom. Its theoretical density is 12.28 g/cm³. Its density of states at the Fermi level is 10.00 states/eV/cell. The value obtained for the magnetic moment is 0.0013 μB/atom.

Lattice parameters (Å, degrees): 7.2991 7.2991 2.5648 90.00 90.00 90.00
Fractional positions:
Co (0.1680, 0.6680, 0.5000)
Co (0.6680, 0.8320, 0.5000)
Co (0.8320, 0.3320, 0.5000)
Co (0.3320, 0.1680, 0.5000)
Os (0.3735, 0.8735, 0.0000)
Os (0.8735, 0.6265, 0.0000)
Os (0.6265, 0.1265, 0.0000)
Os (0.1265, 0.3735, 0.0000)
Li (0.0000, 0.0000, 0.0000)
Li (0.5000, 0.5000, 0.0000)

First-principles (GGA-PBE) data for an optimized crystal structure of VCd2Co2, as listed in Alexandria.

Output
Its crystal system is tetragonal. As for the formation energy: 0.250 eV per atom. Its theoretical density is 8.50 g/cm³. Its density of states at the Fermi level is 7.29 states/eV/cell. The value obtained for the magnetic moment is 0.1849 μB/atom.

Lattice parameters (Å, degrees): 5.9556 5.9556 4.3362 90.00 90.00 90.00
Each line ends with the local moment (μB).
Fractional positions:
Cd (0.1763, 0.6763, 0.5000)  0.00
Cd (0.6763, 0.8237, 0.5000)  0.00
Cd (0.8237, 0.3237, 0.5000)  0.00
Cd (0.3237, 0.1763, 0.5000)  0.00
Co (0.3668, 0.8668, 0.0000)  0.40
Co (0.8668, 0.6332, 0.0000)  0.40
Co (0.6332, 0.1332, 0.0000)  0.40
Co (0.1332, 0.3668, 0.0000)  0.40
V (0.0000, 0.0000, 0.0000)  0.08
V (0.5000, 0.5000, 0.0000)  0.08

First-principles (GGA-PBE) data for an optimized crystal structure of La2SiTc, as listed in Alexandria.

Output
Its crystal system is orthorhombic. Its theoretical density is 6.90 g/cm³. The uncorrected formation energy is -0.273 eV/atom. Its density of states at the Fermi level is 3.92 states/eV/cell. The value obtained for the magnetic moment is 0.0000 μB/atom.

Lattice parameters (Å, degrees): 6.5287 6.5287 6.5287 147.93 138.59 53.32
Fractional positions:
La (0.9753, 0.9753, 0.0000)
La (0.2542, 0.7542, 0.5000)
Si (0.5647, 0.5647, 0.0000)
Tc (0.7059, 0.2059, 0.5000)

First-principles (GGA-PBE) data for an optimized crystal structure of CaAlHgPb, as listed in Alexandria.

Output
Its crystal system is cubic. As for the formation energy: -0.160 eV per atom. Its theoretical density is 7.71 g/cm³. Its density of states at the Fermi level is 2.63 states/eV/cell. The value obtained for the magnetic moment is 0.0000 μB/atom.

Lattice parameters (Å, degrees): 5.2488 5.2488 5.2488 60.00 60.00 60.00
Fractional positions:
Pb (0.7500, 0.7500, 0.7500)
Ca (0.0000, 0.0000, 0.0000)
Hg (0.2500, 0.2500, 0.2500)
Al (0.5000, 0.5000, 0.5000)

First-principles (GGA-PBE) data for an optimized crystal structure of NdEr3Se6, as listed in Alexandria.

Output
Its crystal system is monoclinic. Its theoretical density is 6.98 g/cm³. The uncorrected formation energy is -1.882 eV/atom. The value obtained for the magnetic moment is 0.0000 μB/atom.

Lattice parameters (Å, degrees): 4.1176 11.5606 11.8471 109.16 90.00 90.00
Fractional positions:
Nd (0.7500, 0.0474, 0.6958)
Nd (0.2500, 0.9526, 0.3042)
Er (0.7500, 0.4387, 0.8336)
Er (0.2500, 0.5613, 0.1664)
Er (0.7500, 0.6810, 0.5003)
Er (0.2500, 0.3190, 0.4997)
Er (0.7500, 0.1592, 0.0858)
Er (0.2500, 0.8408, 0.9142)
Se (0.7500, 0.4800, 0.6141)
Se (0.2500, 0.5200, 0.3859)
Se (0.7500, 0.9167, 0.0942)
Se (0.2500, 0.0833, 0.9058)
Se (0.7500, 0.3933, 0.0591)
Se (0.2500, 0.6067, 0.9409)
Se (0.7500, 0.7381, 0.2733)
Se (0.2500, 0.2619, 0.7267)
Se (0.7500, 0.1175, 0.4656)
Se (0.2500, 0.8825, 0.5344)
Se (0.7500, 0.8027, 0.7499)
Se (0.2500, 0.1973, 0.2501)

First-principles (GGA-PBE) data for an optimized crystal structure of Na3IrF, as listed in Alexandria.

Output
Its crystal system is cubic. As for the energy above the most stable polymorph in this dataset: 0.000 eV per atom. Its theoretical density is 4.92 g/cm³. The uncorrected formation energy is -0.500 eV/atom. Its density of states at the Fermi level is 2.77 states/eV/cell. The value obtained for the magnetic moment is 0.2000 μB/atom.

Lattice parameters (Å, degrees): 4.5560 4.5560 4.5560 90.00 90.00 90.00
Each line ends with the local moment (μB).
Fractional positions:
Na (0.0000, 0.5000, 0.0000)  0.00
Na (0.0000, 0.0000, 0.5000)  -0.01
Na (0.5000, 0.0000, 0.0000)  0.00
Ir (0.5000, 0.5000, 0.5000)  0.98
F (0.0000, 0.0000, 0.0000)  0.00